{
  "formula": "Sm2MnTl3S6",
  "functional": "GGA-PBE",
  "state": "relaxed",
  "magnetic_moment_mub_per_fu": 4.00,
  "e_form_raw_mev_per_atom": -1085,
  "lattice": [[3.5045, -5.8658, 0.0000], [3.5045, 5.8658, 0.0000], [-2.4867, 0.0000, 7.4796]],
  "species": ["Sm", "Sm", "Mn", "Tl", "Tl", "Tl", "S", "S", "S", "S", "S", "S"],
  "frac_coords": [[0.1647, 0.8353, 0.0000], [0.8353, 0.1647, 0.0000], [0.5000, 0.5000, 0.0000], [0.0000, 0.0000, 0.5000], [0.3283, 0.6717, 0.5000], [0.6717, 0.3283, 0.5000], [0.1433, 0.4367, 0.8178], [0.2457, 0.2457, 0.2217], [0.4367, 0.1433, 0.8178], [0.5633, 0.8567, 0.1822], [0.7543, 0.7543, 0.7783], [0.8567, 0.5633, 0.1822]]
}